Material: YTlIn2
Method: DFT, PBE-GGA
State: optimized geometry

Summary:
ΔH_f (0 K) = -0.0966 eV per atom
E = -3.67 eV/atom
DOS at the Fermi energy = 1.9 states/eV/f.u.
Total magnetization = 0.000 μB per atom
Crystal system = tetragonal

abc: 6.7684 6.7684 6.7684
angles: 102.89 102.89 123.63
Closest atoms and distances in Å follow each position.
Sites, in units of the cell vectors:
Y1 0.0000 0.0000 0.0000  2 Tl 3.20, 4 In 3.21
Y2 0.7500 0.2500 0.5000  2 Tl 3.20, 4 In 3.21
Tl1 0.2500 0.7500 0.5000  4 In 2.98, 2 Y 3.20
Tl2 0.5000 0.5000 0.0000  4 In 2.98, 2 Y 3.20
In1 0.1450 0.6250 0.0200  2 Tl 2.98, 2 Y 3.21, 2 In 3.21
In2 0.3750 0.3950 0.5200  2 Tl 2.98, 2 Y 3.21, 2 In 3.21
In3 0.6050 0.1250 0.9800  2 Tl 2.98, 2 Y 3.21, 2 In 3.21
In4 0.8750 0.8550 0.4800  2 Tl 2.98, 2 Y 3.21, 2 In 3.21